The following is a GGA-PBE calculation of crystalline TlPbCl2 at its relaxed geometry, from Alexandria.

Structure (CIF):
```
data_TlPbCl2
_cell_length_a 7.615
_cell_length_b 7.615
_cell_length_c 7.615
_cell_angle_alpha 90.00
_cell_angle_beta 90.00
_cell_angle_gamma 90.00
_symmetry_space_group_name_H-M 'F m -3 m'
_symmetry_Int_Tables_number 225
_symmetry_space_group_name_Hall '-F 4 2 3'
loop_
_atom_site_label
_atom_site_type_symbol
_atom_site_fract_x
_atom_site_fract_y
_atom_site_fract_z
_atom_site_occupancy
Tl1 Tl 0.000 0.000 0.000 1
Pb1 Pb 0.000 0.000 0.500 1
Cl1 Cl 0.250 0.250 0.250 1
```

Raw formation energy ... -631 meV per atom
Crystal system ... cubic
Uncorrected energy ... -49.2 eV/cell